Compound: Ac5IrPd2Au
Source: the Alexandria database
Functional: PBE
Structure: optimized geometry

Computed properties:
- DOS at the Fermi energy (states/eV/atom) = 0.683
- E_tot (eV per atom) = -5.41
- ΔE_f (kJ per mole of atoms) = -60.3
- crystal system = orthorhombic

Cell and atoms, written as POSCAR:
```
Ac5IrPd2Au
1.0
4.503 0.000 0.000
-2.251 9.128 0.000
0.000 0.000 14.556
Ac Ir Pd Au
10 2 4 2
Direct
0.440 0.881 0.044 Ac
0.776 0.553 0.931 Ac
0.431 0.863 0.771 Ac
0.189 0.378 0.710 Ac
0.881 0.762 0.528 Ac
0.560 0.119 0.544 Ac
0.224 0.447 0.431 Ac
0.569 0.137 0.271 Ac
0.811 0.622 0.210 Ac
0.119 0.238 0.028 Ac
0.719 0.438 0.569 Ir
0.281 0.562 0.069 Ir
0.815 0.629 0.727 Pd
0.012 0.024 0.668 Pd
0.185 0.371 0.227 Pd
0.988 0.976 0.168 Pd
0.597 0.194 0.876 Au
0.403 0.806 0.376 Au
```